Record 1
DFT (PBE) results for crystalline ScPBr at its relaxed geometry.

- E above lowest polymorph: 0.00 eV/f.u.
- Crystal system: trigonal
- ΔE_f (raw): -0.837 eV/atom
- DOS at the Fermi energy: 1.750 states/eV per cell

Unit cell a=3.5821 b=3.5821 c=6.9061 alpha=90.00 beta=90.00 gamma=120.00
Closest atoms and distances in Å follow each position.
Fractional coordinates of all 3 atoms:
1 Sc 0.3333 0.6667 0.6594  3 P 2.64, 3 Br 2.74
2 P 0.6667 0.3333 0.4219  3 Sc 2.64
3 Br 0.0000 0.0000 0.9186  3 Sc 2.74

***

Record 2
DFT (PBE) results for crystalline U2RuN at its relaxed geometry.

- E above lowest polymorph: 0.97 eV/f.u.
- Crystal system: tetragonal
- ΔE_f (raw): -0.322 eV/atom
- DOS at the Fermi energy: 5.810 states/eV per cell

Unit cell a=2.9811 b=2.9811 c=6.9775 alpha=90.00 beta=90.00 gamma=90.00
Closest atoms and distances in Å follow each position.
Fractional coordinates of all 4 atoms:
1 Ru 0.5000 0.5000 0.0000  8 U 2.91, 4 Ru 2.98
2 U 0.0000 0.0000 0.7125  4 N 2.58
3 U 0.0000 0.0000 0.2875  4 N 2.58
4 N 0.5000 0.5000 0.5000  8 U 2.58

***

Record 3
DFT (PBE) results for crystalline AlTe2Ir at its relaxed geometry.

- E above lowest polymorph: 0.93 eV/f.u.
- Crystal system: monoclinic
- ΔE_f (raw): -0.021 eV/atom
- DOS at the Fermi energy: 1.681 states/eV per cell

Unit cell a=4.0918 b=4.0918 c=6.7983 alpha=72.64 beta=72.64 gamma=59.85
Closest atoms and distances in Å follow each position.
Fractional coordinates of all 4 atoms:
1 Ir 0.7500 0.7500 0.7500  6 Te 2.72-2.73
2 Te 0.0127 0.0127 0.9630  3 Ir 2.72-2.73, 3 Al 2.98-2.99
3 Te 0.4873 0.4873 0.5370  3 Ir 2.72-2.73, 3 Al 2.98-2.99
4 Al 0.2500 0.2500 0.2500  6 Te 2.98-2.99

***

Record 4
DFT (PBE) results for crystalline CaPr2Cd at its relaxed geometry.

- ΔE_f: 0.22 eV/atom
- E above lowest polymorph: 1.32 eV/f.u.
- Crystal system: trigonal
- DOS at the Fermi energy: 5.548 states/eV per cell

Unit cell a=3.5813 b=3.5813 c=13.0805 alpha=82.13 beta=82.13 gamma=60.00
Closest atoms and distances in Å follow each position.
Fractional coordinates of all 4 atoms:
1 Pr 0.0858 0.0858 0.7426  1 Cd 3.33, 6 Pr 3.58
2 Pr 0.9142 0.9142 0.2574  1 Cd 3.33, 6 Pr 3.58
3 Ca 0.5000 0.5000 0.5000  6 Ca 3.58, 6 Pr 3.75
4 Cd 0.0000 0.0000 0.0000  2 Pr 3.33, 6 Cd 3.58

***

Record 5
DFT (PBE) results for crystalline SmSc2V at its relaxed geometry.

- ΔE_f: 0.56 eV/atom
- E above lowest polymorph: 1.57 eV/f.u.
- Crystal system: trigonal
- DOS at the Fermi energy: 5.660 states/eV per cell

Unit cell a=3.2078 b=3.2078 c=11.0437 alpha=81.65 beta=81.65 gamma=60.00
Closest atoms and distances in Å follow each position.
Fractional coordinates of all 4 atoms:
1 Sc 0.0798 0.0798 0.7606  1 V 2.61
2 Sc 0.9202 0.9202 0.2394  1 V 2.61
3 Sm 0.5000 0.5000 0.5000  6 Sm 3.21, 6 Sc 3.39
4 V 0.0000 0.0000 0.0000  2 Sc 2.61

***

Record 6
DFT (PBE) results for crystalline La2S4Cl at its relaxed geometry.

- Crystal system: tetragonal
- ΔE_f (raw): -1.167 eV/atom
- DOS at the Fermi energy: 1.559 states/eV per cell

Unit cell a=4.5410 b=4.5410 c=8.6919 alpha=74.86 beta=74.86 gamma=90.00
Closest atoms and distances in Å follow each position.
Fractional coordinates of all 7 atoms:
1 S 0.8118 0.8118 0.3764  1 La 2.77, 1 Cl 3.04
2 S 0.1882 0.1882 0.6236  1 La 2.77, 1 Cl 3.04
3 S 0.0000 0.5000 0.0000  2 Cl 2.27
4 S 0.5000 0.0000 0.0000  2 Cl 2.27
5 Cl 0.0000 0.0000 0.0000  4 S 2.27
6 La 0.6405 0.6405 0.7190  1 S 2.77
7 La 0.3595 0.3595 0.2810  1 S 2.77